# K3PuCo2O8, relaxed, DFT PBE with a Hubbard U
data_K3PuCo2O8
_space_group_name_H-M_alt 'P -3 m 1'
_space_group_IT_number 164
_space_group_name_Hall '-P 3 2"'
_cell_length_a 5.8964
_cell_length_b 5.8964
_cell_length_c 7.7173
_cell_angle_alpha 90.00
_cell_angle_beta 90.00
_cell_angle_gamma 120.00
loop_
_atom_site_label
_atom_site_type_symbol
_atom_site_fract_x
_atom_site_fract_y
_atom_site_fract_z
K1 K 0.0000 0.0000 0.0000
K2 K 0.3333 0.6667 0.6930
Pu1 Pu 0.0000 0.0000 0.5000
Co1 Co 0.3333 0.6667 0.2496
O1 O 0.1646 0.3293 0.3434
O2 O 0.3333 0.6667 0.0285
# total energy	-6.42	eV/atom
# calculated density	4.3	g/cm³